VASP calculation (GGA-PBE) on a relaxed structure of TeP2CS.

Unit cell a=5.2078 b=5.2078 c=4.9986 alpha=90.00 beta=90.00 gamma=90.00
Space group P4/mmm (No. 123)
Asymmetric unit:
Te: 0.0000 0.0000 0.0000 x1
P: 0.0000 0.5000 0.0000 x2
C: 0.5000 0.5000 0.5000 x1
S: 0.0000 0.0000 0.5000 x1

Properties
The total DFT energy (no corrections) comes out at -3.00 eV per atom. As for the crystal system: tetragonal. The uncorrected formation energy comes out at 2467 meV per atom. For the distance to the lowest polymorph of the same formula, the calculation gives 1301 meV/atom. As for the magnetic moment: 0.5 Bohr magnetons per cell.

VASP calculation (GGA-PBE) on a relaxed structure of TaZnTe3.

Unit cell a=5.1689 b=5.1689 c=5.1689 alpha=90.00 beta=90.00 gamma=90.00
Space group Pm-3m (No. 221)
Asymmetric unit:
Ta: 0.0000 0.0000 0.0000 x1
Zn: 0.5000 0.5000 0.5000 x1
Te: 0.0000 0.5000 0.5000 x3

Properties
The total DFT energy (no corrections) comes out at -3.47 eV per atom. As for the crystal system: cubic. The uncorrected formation energy comes out at 1039 meV per atom. For the distance to the lowest polymorph of the same formula, the calculation gives 774 meV/atom. As for the magnetic moment: 2.4 Bohr magnetons per cell.